The following is a GGA-PBE calculation of a relaxed structure of TiFe3H, from Alexandria via LeMat-Bulk.

Output
energy relative to the lowest polymorph listed for this composition: 0.0 meV/atom
DOS at the Fermi energy: 3.680 states/eV/cell

Cell: 3.7059 3.7059 3.7059 Å, 90.00 90.00 90.00°
Closest atoms and distances in Å follow each position.
Space group Pm-3m (No. 221)
Unique sites:
Ti 0.0000 0.0000 0.0000 [1 per cell]  12 Fe 2.62
Fe 0.0000 0.5000 0.5000 [3 per cell]  2 H 1.85
H 0.5000 0.5000 0.5000 [1 per cell]  6 Fe 1.85

***

The following is a GGA-PBE calculation of a relaxed structure of Ti2FeH2, from Alexandria via LeMat-Bulk.

Output
energy relative to the lowest polymorph listed for this composition: 138.8 meV/atom
DOS at the Fermi energy: 1.509 states/eV/cell

Cell: 2.8859 2.8859 5.8589 Å, 90.00 90.00 90.00°
Closest atoms and distances in Å follow each position.
Space group P4/mmm (No. 123)
Unique sites:
Ti 0.0000 0.0000 0.2421 [2 per cell]  4 H 2.02
Fe 0.5000 0.5000 0.5000 [1 per cell]  8 Ti 2.54
H 0.0000 0.5000 0.0000 [2 per cell]  4 Ti 2.02, 4 H 2.04

***

The following is a GGA-PBE calculation of a relaxed structure of TiFe2H, from Alexandria via LeMat-Bulk.

Output
calculated total energy: -7.044 eV per atom
DOS at the Fermi energy: 33.947 states/eV/cell

Cell: 7.0555 7.0555 7.0555 Å, 90.00 90.00 90.00°
Closest atoms and distances in Å follow each position.
Space group Fd-3m (No. 227, origin choice 2)
Unique sites:
Ti 0.1250 0.1250 0.1250 [8 per cell]  12 Fe 2.93, 4 H 3.06, 4 Ti 3.06
Fe 0.0000 0.0000 0.5000 [16 per cell]  2 H 1.53
H 0.1250 0.1250 0.6250 [8 per cell]  4 Fe 1.53

***

The following is a GGA-PBE calculation of a relaxed structure of Ti2TlFeH, from Alexandria via LeMat-Bulk.

Output
energy relative to the lowest polymorph listed for this composition: 0.0 meV/atom
DOS at the Fermi energy: 5.152 states/eV/cell

Cell: 4.8592 4.8592 3.1988 Å, 90.00 90.00 90.00°
Closest atoms and distances in Å follow each position.
Space group P4/mmm (No. 123)
Unique sites:
Ti 0.0000 0.5000 0.0000 [2 per cell]  2 Fe 2.43
Tl 0.0000 0.0000 0.5000 [1 per cell]  8 Ti 2.91, 2 Tl 3.20
Fe 0.5000 0.5000 0.0000 [1 per cell]  2 H 1.60
H 0.5000 0.5000 0.5000 [1 per cell]  2 Fe 1.60

***

The following is a GGA-PBE calculation of a relaxed structure of Ti2TlFeH, from Alexandria via LeMat-Bulk.

Output
energy relative to the lowest polymorph listed for this composition: 1018.4 meV/atom
DOS at the Fermi energy: 7.751 states/eV/cell

Cell: 5.1805 5.1805 3.3429 Å, 90.00 90.00 90.00°
Closest atoms and distances in Å follow each position.
Space group P4/mmm (No. 123)
Unique sites:
Ti 0.0000 0.5000 0.0000 [2 per cell]  2 Tl 2.59
Tl 0.0000 0.0000 0.0000 [1 per cell]  2 H 1.67
Fe 0.5000 0.5000 0.5000 [1 per cell]  8 Ti 3.08, 2 Fe 3.34
H 0.0000 0.0000 0.5000 [1 per cell]  2 Tl 1.67

***

The following is a GGA-PBE calculation of a relaxed structure of TiVFe2H, from Alexandria via LeMat-Bulk.

Output
calculated total energy: -7.494 eV per atom
DOS at the Fermi energy: 5.390 states/eV/cell

Cell: 3.7336 3.7336 3.7552 Å, 90.00 90.00 90.00°
Closest atoms and distances in Å follow each position.
Space group P4/mmm (No. 123)
Unique sites:
Ti 0.0000 0.0000 0.0000 [1 per cell]  2 H 1.88
V 0.5000 0.5000 0.0000 [1 per cell]  4 Ti 2.64, 8 Fe 2.65
Fe 0.0000 0.5000 0.5000 [2 per cell]  2 H 1.87
H 0.0000 0.0000 0.5000 [1 per cell]  4 Fe 1.87, 2 Ti 1.88